*one*
Density functional theory data (PBE) for a relaxed Nb5ReMo4 crystal.

Cell and atoms, written as POSCAR:
```
Nb5ReMo4
1.0
-2.0848 4.0968 -2.1528
-6.1121 1.0697 1.9708
1.0019 5.4501 3.4173
Nb Re Mo
5 1 4
Direct
0.7964 0.3925 0.9401 Nb
0.1889 0.9401 0.6075 Nb
0.7365 0.0599 0.3925 Nb
0.1290 0.6075 0.0599 Nb
0.6396 0.0000 0.0000 Nb
0.1571 0.0000 0.0000 Re
0.4417 0.3702 0.6778 Mo
0.8119 0.6778 0.6298 Mo
0.1195 0.3222 0.3702 Mo
0.4897 0.6298 0.3222 Mo
```

The value obtained for the volume is 182 Å³ per cell. The calculation puts the spin magnetization at 0.0 μB/f.u. The crystal system is tetragonal.


*two*
Density functional theory data (PBE) for a relaxed Nb5ReMo4 crystal.

Cell and atoms, written as POSCAR:
```
Nb5ReMo4
1.0
-0.6326 0.8785 -3.0413
2.4166 -1.8694 -1.0426
-10.2083 -12.3852 -1.4540
Nb Re Mo
5 1 4
Direct
0.5000 0.5000 0.0991 Nb
0.5000 0.5000 0.2994 Nb
0.5000 0.5000 0.5000 Nb
0.5000 0.5000 0.7006 Nb
0.5000 0.5000 0.9009 Nb
0.0000 0.0000 0.0000 Re
0.0000 0.0000 0.1996 Mo
0.0000 0.0000 0.3999 Mo
0.0000 0.0000 0.6001 Mo
0.0000 0.0000 0.8004 Mo
```

The value obtained for the volume is 168 Å³ per cell. The calculation puts the spin magnetization at 0.0 μB/f.u. The crystal system is tetragonal.


Among the structures above, stability is smallest for *one*.